## ZrNi2Se (PBE-GGA)

Data for a geometry-optimized ZrNi2Se structure.

Lattice parameters (Å, degrees): 4.993 4.993 4.993 48.44 48.44 48.44
Sites, in units of the cell vectors:
Zr1 0.761 0.761 0.761
Ni1 0.186 0.186 0.186
Se1 0.562 0.562 0.562
Ni2 0.991 0.991 0.991

Crystal system = trigonal
Formation energy from raw total energies = -0.420 eV per atom

## Ho3Tm2Rh2 (PBE-GGA)

Data for a geometry-optimized Ho3Tm2Rh2 structure.

Lattice parameters (Å, degrees): 3.780 6.234 8.798 114.74 90.00 107.65
Sites, in units of the cell vectors:
Rh1 0.821 0.642 0.762
Tm1 0.167 0.334 0.809
Ho1 0.500 0.000 0.000
Ho2 0.385 0.769 0.570
Tm2 0.833 0.666 0.191
Rh2 0.179 0.358 0.238
Ho3 0.615 0.231 0.430

Crystal system = monoclinic
Formation energy = -606 meV/atom

## CoCuOs2 (PBE-GGA)

Data for a geometry-optimized CoCuOs2 structure.

Lattice parameters (Å, degrees): 4.588 4.588 4.588 132.50 132.50 69.43
Sites, in units of the cell vectors:
Os1 0.000 0.000 0.000
Cu1 0.750 0.250 0.500
Os2 0.500 0.500 0.000
Co1 0.250 0.750 0.500

Crystal system = tetragonal
Offset from the most stable computed form = 144.9 meV/atom
Formation energy = 376 meV/atom

## BaMn2CdH8 (PBE-GGA)

Data for a geometry-optimized BaMn2CdH8 structure.

Lattice parameters (Å, degrees): 4.752 4.752 6.183 90.00 90.00 120.00
Sites, in units of the cell vectors:
H1 0.667 0.333 0.169
H2 0.526 0.476 0.657
H3 0.049 0.526 0.343
Cd1 0.000 0.000 0.500
Ba1 0.000 0.000 0.000
H4 0.524 0.049 0.657
H5 0.951 0.474 0.657
H6 0.474 0.524 0.343
Mn1 0.667 0.333 0.442
Mn2 0.333 0.667 0.558
H7 0.333 0.667 0.831
H8 0.476 0.951 0.343

Crystal system = trigonal
Electronic total energy = -0.2969 Ry per atom